1.
Fe4O5F3, relaxed, DFT GGA+U; Fermi-level density of states = 0.29 states/eV per atom; SG = C2/m, No. 12; distance to the lowest polymorph of the same formula = 0.003 eV/atom; magnetic moment = 37.979 μB/cell; final energy = -6.047 eV/atom
1.0
9.373 -3.056 0.000
9.373 3.056 0.000
-0.139 0.000 4.706
Fe O F
8 10 6
Cartesian
4.686 1.528 0.000
2.445 0.000 2.227
9.373 1.557 0.000
6.910 0.000 2.641
4.686 -1.528 0.000
11.696 0.000 2.065
9.373 -1.557 0.000
16.162 0.000 2.479
0.899 0.000 0.881
5.966 1.530 3.342
3.698 0.000 3.794
12.641 1.530 1.364
8.381 0.000 3.852
10.226 0.000 0.853
5.966 -1.530 3.342
14.909 0.000 0.912
12.641 -1.530 1.364
17.707 0.000 3.825
7.861 1.517 1.510
5.672 0.000 0.979
10.746 1.517 3.196
7.861 -1.517 1.510
12.935 0.000 3.727
10.746 -1.517 3.196

---

2.
Fe2O3F, relaxed, DFT GGA+U; Fermi-level density of states = 0.29 states/eV per atom; SG = Pmc2_1, No. 26; distance to the lowest polymorph of the same formula = 0.185 eV/atom; magnetic moment = 14.000 μB/cell; final energy = -5.928 eV/atom
1.0
2.993 0.000 0.000
0.000 4.718 0.000
0.000 0.000 9.666
Fe O F
4 6 2
Cartesian
0.000 1.004 0.000
0.000 3.713 4.833
1.496 1.353 2.727
1.496 3.364 7.560
0.000 0.352 3.513
0.000 2.045 1.642
0.000 2.672 6.475
0.000 4.365 8.346
1.496 1.920 8.891
1.496 2.797 4.058
1.496 0.024 0.975
1.496 4.694 5.808

---

Please write out number 2 again, unchanged.
Fe2O3F, relaxed, DFT GGA+U; Fermi-level density of states = 0.29 states/eV per atom; SG = Pmc2_1, No. 26; distance to the lowest polymorph of the same formula = 0.185 eV/atom; magnetic moment = 14.000 μB/cell; final energy = -5.928 eV/atom
1.0
2.993 0.000 0.000
0.000 4.718 0.000
0.000 0.000 9.666
Fe O F
4 6 2
Cartesian
0.000 1.004 0.000
0.000 3.713 4.833
1.496 1.353 2.727
1.496 3.364 7.560
0.000 0.352 3.513
0.000 2.045 1.642
0.000 2.672 6.475
0.000 4.365 8.346
1.496 1.920 8.891
1.496 2.797 4.058
1.496 0.024 0.975
1.496 4.694 5.808

---

Copy entry 2 word for word.
Fe2O3F, relaxed, DFT GGA+U; Fermi-level density of states = 0.29 states/eV per atom; SG = Pmc2_1, No. 26; distance to the lowest polymorph of the same formula = 0.185 eV/atom; magnetic moment = 14.000 μB/cell; final energy = -5.928 eV/atom
1.0
2.993 0.000 0.000
0.000 4.718 0.000
0.000 0.000 9.666
Fe O F
4 6 2
Cartesian
0.000 1.004 0.000
0.000 3.713 4.833
1.496 1.353 2.727
1.496 3.364 7.560
0.000 0.352 3.513
0.000 2.045 1.642
0.000 2.672 6.475
0.000 4.365 8.346
1.496 1.920 8.891
1.496 2.797 4.058
1.496 0.024 0.975
1.496 4.694 5.808